# PBE NpZnFeOs, optimized geometry
# - energy of formation from the pure elements (eV/atom) = 0.1530
# - total DFT energy (no corrections) (eV per atom) = -8.3238
data_NpZnFeOs
_symmetry_space_group_name_H-M 'F -4 3 m'
_symmetry_Int_Tables_number 216
_symmetry_space_group_name_Hall 'F -4 2 3'
_cell_length_a 6.3555
_cell_length_b 6.3555
_cell_length_c 6.3555
_cell_angle_alpha 90.00
_cell_angle_beta 90.00
_cell_angle_gamma 90.00
loop_
_atom_site_label
_atom_site_type_symbol
_atom_site_fract_x
_atom_site_fract_y
_atom_site_fract_z
Np1 Np 0.0000 0.0000 0.0000
Zn1 Zn 0.0000 0.0000 0.5000
Fe1 Fe 0.2500 0.2500 0.7500
Os1 Os 0.2500 0.2500 0.2500